## Pm2MnAs4Rh3 (PBE)

Data for a relaxed structure of Pm2MnAs4Rh3.

Unit cell a=4.280 b=4.280 c=10.113 alpha=90.00 beta=90.00 gamma=90.00
Each line ends with the local moment (μB).
Fractional coordinates of all 10 atoms:
Rh 0.000 0.500 0.121  -0.04
Rh 0.000 0.000 0.500  0.06
Rh 0.500 0.000 0.879  -0.04
As 0.000 0.000 0.000  0.00
As 0.000 0.500 0.364  -0.05
As 0.500 0.500 0.000  0.00
As 0.500 0.000 0.636  -0.05
Pm 0.500 0.000 0.244  0.01
Pm 0.000 0.500 0.756  0.01
Mn 0.500 0.500 0.500  3.31

ΔE_f: -8.4 eV/f.u.
Magnetization: 3.370 μB/cell

## Pm2MnAs3Rh4 (PBE)

Data for a relaxed structure of Pm2MnAs3Rh4.

Unit cell a=4.163 b=4.163 c=10.459 alpha=90.00 beta=90.00 gamma=90.00
Each line ends with the local moment (μB).
Fractional coordinates of all 10 atoms:
Rh 0.000 0.000 0.000  0.00
Rh 0.500 0.500 0.000  -0.03
Rh 0.500 0.000 0.633  0.06
Rh 0.000 0.500 0.367  0.06
Pm 0.500 0.000 0.250  0.01
Pm 0.000 0.500 0.750  0.01
As 0.500 0.000 0.863  -0.01
As 0.000 0.000 0.500  -0.01
As 0.000 0.500 0.137  -0.01
Mn 0.500 0.500 0.500  3.44

ΔE_f: -8.3 eV/f.u.
Magnetization: 3.728 μB/cell